An optimized crystal structure of MnSeI3. Source: Alexandria via LeMat-Bulk, functional PBE-GGA.

Cell lengths 5.7940, 5.7940, 5.7940 Å; angles 90.00, 90.00, 90.00 degrees
With the nearest neighbours (Å) after each atom.
Space group Pm-3m (No. 221)
Unique sites:
Mn1 0.0000 0.0000 0.0000 (multiplicity 1)  12 I 4.10
Se1 0.5000 0.5000 0.5000 (multiplicity 1)  6 I 2.90
I1 0.0000 0.5000 0.5000 (multiplicity 3)  2 Se 2.90

Calculated values
distance to the lowest polymorph of the same formula = 0 meV/atom
mass density = 4.393 g cm⁻³
spin magnetization = 5.873 Bohr magnetons per cell
formation energy from raw total energies = 47 kJ/mol of atoms